Record 1
DFT (PBE) results for an optimized crystal structure of ErSi2Ni5Pt.

CIF file:
```
data_ErSi2Ni5Pt
_chemical_formula_sum 'Er1 Si2 Ni5 Pt1'
_space_group_name_H-M_alt 'P 4/m m m'
_space_group_IT_number 123
_space_group_name_Hall '-P 4 2'
_cell_length_a 3.718
_cell_length_b 3.718
_cell_length_c 8.814
_cell_angle_alpha 90.00
_cell_angle_beta 90.00
_cell_angle_gamma 90.00
loop_
_atom_site_label
_atom_site_type_symbol
_atom_site_fract_x
_atom_site_fract_y
_atom_site_fract_z
Er1 Er 0.000 0.000 0.000
Si1 Si 0.500 0.500 0.371
Ni1 Ni 0.000 0.500 0.231
Ni2 Ni 0.500 0.500 0.000
Pt1 Pt 0.000 0.000 0.500
```

Properties
ΔE_f (raw) = -323 meV/atom

Record 2
DFT (PBE) results for an optimized crystal structure of Th4GeSb2P.

CIF file:
```
data_Th4GeSb2P
_chemical_formula_sum 'Th4 Ge1 Sb2 P1'
_space_group_name_H-M_alt 'P 1 2/m 1'
_space_group_IT_number 10
_cell_length_a 7.482
_cell_length_b 4.323
_cell_length_c 7.693
_cell_angle_alpha 90.00
_cell_angle_beta 108.94
_cell_angle_gamma 90.00
loop_
_space_group_symop_operation_xyz
'x,y,z'
'-x,-y,-z'
'-x,y,-z'
'x,-y,z'
loop_
_atom_site_label
_atom_site_type_symbol
_atom_site_fract_x
_atom_site_fract_y
_atom_site_fract_z
Th1 Th 0.235 0.000 0.220
Th2 Th 0.254 0.500 0.776
Ge1 Ge 0.500 0.000 0.000
Sb1 Sb 0.000 0.000 0.500
Sb2 Sb 0.500 0.500 0.500
P1 P 0.000 0.500 0.000
```

Properties
ΔE_f (raw) = -1052 meV/atom